(1)
DFT (GGA-PBE) results for a relaxed SnS crystal.

Properties
DFT total energy: -36.1 eV per cell
Mass density: 4.94 g/cm³
Formation energy without anion corrections: -0.446 eV per atom

Geometry as CIF:
```
data_SnS
_symmetry_space_group_name_H-M 'P 1 21/c 1'
_symmetry_Int_Tables_number 14
_cell_length_a 4.0258
_cell_length_b 11.4204
_cell_length_c 5.9715
_cell_angle_alpha 90.00
_cell_angle_beta 132.40
_cell_angle_gamma 90.00
loop_
_symmetry_equiv_pos_as_xyz
'x,y,z'
'-x,-y,-z'
'-x,y+1/2,-z+1/2'
'x,-y+1/2,z+1/2'
loop_
_atom_site_label
_atom_site_type_symbol
_atom_site_fract_x
_atom_site_fract_y
_atom_site_fract_z
Sn1 Sn 0.1253 0.1213 0.3764
S1 S 0.2276 0.1497 0.9787
```


(2)
DFT (GGA-PBE) results for a relaxed CaTcAu2 crystal.

Properties
DFT total energy: -36.9 eV per cell
ΔE to the lowest computed polymorph: 100 meV/atom
Mass density: 11.36 g/cm³
Formation energy from the elements: 0.119 eV per atom

Geometry as CIF:
```
data_CaTcAu2
_symmetry_space_group_name_H-M 'I m m 2'
_symmetry_Int_Tables_number 44
_cell_length_a 4.1726
_cell_length_b 4.1829
_cell_length_c 8.9105
_cell_angle_alpha 90.00
_cell_angle_beta 90.00
_cell_angle_gamma 90.00
loop_
_symmetry_equiv_pos_as_xyz
'x,y,z'
'-x,-y,z'
'-x,y,z'
'x,-y,z'
'x+1/2,y+1/2,z+1/2'
'-x+1/2,-y+1/2,z+1/2'
'-x+1/2,y+1/2,z+1/2'
'x+1/2,-y+1/2,z+1/2'
loop_
_atom_site_label
_atom_site_type_symbol
_atom_site_fract_x
_atom_site_fract_y
_atom_site_fract_z
Ca1 Ca 0.0000 0.0000 0.0000
Tc1 Tc 0.0000 0.5000 0.7501
Au1 Au 0.0000 0.0000 0.4996
Au2 Au 0.0000 0.5000 0.2498
```